Record 1
A PBEsol-optimized structure of Na2NiAs. Source: the Alexandria database, functional SCAN.

Unit cell a=7.9283 b=7.9283 c=7.9283 alpha=94.14 beta=94.14 gamma=148.84
Closest atoms and distances in Å follow each position.
Fractional positions:
Na 0.0000 0.0000 0.0000  2 Ni 2.75
Na 0.0000 0.0000 0.5000  2 Ni 2.75
Na 0.0000 0.5000 0.0000  2 Ni 2.75
Na 0.5000 0.0000 0.5000  2 Ni 2.75
Ni 0.1250 0.8750 0.2500  2 As 2.13
Ni 0.8750 0.1250 0.7500  2 As 2.13
As 0.3750 0.6250 0.7500  2 Ni 2.13
As 0.6250 0.3750 0.2500  2 Ni 2.13

Computed properties:
Crystal system ... tetragonal
Space group ... I4_1/amd (141)
Formation energy ... -0.57 eV per formula unit
Density of states at the Fermi level ... 2.53 states/eV/cell

Record 2
A PBEsol-optimized structure of TlSbPd2. Source: the Alexandria database, functional SCAN.

Unit cell a=4.7230 b=4.7230 c=4.7230 alpha=60.00 beta=60.00 gamma=60.00
Closest atoms and distances in Å follow each position.
Fractional positions:
Tl 0.0000 0.0000 0.0000  8 Pd 2.89
Sb 0.5000 0.5000 0.5000  8 Pd 2.89
Pd 0.2500 0.2500 0.2500  4 Tl 2.89, 4 Sb 2.89
Pd 0.7500 0.7500 0.7500  4 Tl 2.89, 4 Sb 2.89

Computed properties:
Energy relative to the elements, uncorrected ... -13 kJ/mol of atoms
Crystal system ... cubic
Space group ... Fm-3m (225)
Density of states at the Fermi level ... 1.64 states/eV/cell

Record 3
A PBEsol-optimized structure of TaRe2Se. Source: the Alexandria database, functional SCAN.

Unit cell a=2.9984 b=4.5015 c=4.5868 alpha=90.00 beta=90.00 gamma=90.00
Closest atoms and distances in Å follow each position.
Fractional positions:
Ta 0.0000 0.0000 0.0000  4 Se 2.70, 4 Re 2.74, 2 Ta 3.00
Re 0.0000 0.5000 0.5000  6 Re 2.70-3.00, 4 Se 2.74
Re 0.5000 0.0000 0.5000  6 Re 2.70-3.00, 4 Ta 2.74
Se 0.5000 0.5000 0.0000  4 Ta 2.70, 4 Re 2.74, 2 Se 3.00

Computed properties:
Energy relative to the elements, uncorrected ... 35 kJ/mol of atoms
Crystal system ... orthorhombic
Space group ... Pmmm (47)
Density of states at the Fermi level ... 3.25 states/eV/cell

Record 4
A PBEsol-optimized structure of MgGa3Pd. Source: the Alexandria database, functional SCAN.

Unit cell a=4.8480 b=4.8480 c=4.8480 alpha=90.00 beta=90.00 gamma=90.00
Closest atoms and distances in Å follow each position.
Fractional positions:
Mg 0.0000 0.0000 0.0000  6 Ga 2.42
Ga 0.0000 0.0000 0.5000  2 Mg 2.42
Ga 0.0000 0.5000 0.0000  2 Mg 2.42
Ga 0.5000 0.0000 0.0000  2 Mg 2.42
Pd 0.5000 0.5000 0.5000  12 Ga 3.43

Computed properties:
Crystal system ... cubic
Space group ... Pm-3m (221)
Formation energy ... 3.94 eV per formula unit
Density of states at the Fermi level ... 1.79 states/eV/cell

Record 5
A PBEsol-optimized structure of SrMo2Pt. Source: the Alexandria database, functional SCAN.

Unit cell a=2.7970 b=2.7970 c=9.2659 alpha=90.00 beta=90.00 gamma=90.00
Closest atoms and distances in Å follow each position.
Fractional positions:
Sr 0.0000 0.0000 0.0000  4 Sr 2.80
Mo 0.0000 0.0000 0.4658  4 Pt 2.68, 8 Mo 2.80-2.93
Mo 0.5000 0.5000 0.6991  8 Mo 2.80-2.93
Pt 0.5000 0.5000 0.2708  4 Mo 2.68, 4 Pt 2.80

Computed properties:
Offset from the most stable computed form ... 0.00 eV per formula unit
Crystal system ... tetragonal
Space group ... P4mm (99)
Formation energy ... 1.50 eV per formula unit
Density of states at the Fermi level ... 3.53 states/eV/cell

Record 6
A PBEsol-optimized structure of ReN2. Source: the Alexandria database, functional SCAN.

Unit cell a=4.2123 b=2.8589 c=5.0643 alpha=90.00 beta=113.25 gamma=90.00
Closest atoms and distances in Å follow each position.
Fractional positions:
Re 0.2065 0.2500 0.2173  6 N 2.06-2.12
Re 0.7935 0.7500 0.7827  6 N 2.06-2.12
N 0.1551 0.2500 0.7958  1 N 1.37
N 0.3898 0.2500 0.6708  1 N 1.37
N 0.6102 0.7500 0.3292  1 N 1.37
N 0.8449 0.7500 0.2042  1 N 1.37

Computed properties:
Energy relative to the elements, uncorrected ... 16 kJ/mol of atoms
Crystal system ... monoclinic
Space group ... P2_1/m (11)
Density of states at the Fermi level ... 1.72 states/eV/cell

Record 7
A PBEsol-optimized structure of YHgIr2. Source: the Alexandria database, functional SCAN.

Unit cell a=4.2142 b=4.2142 c=3.9206 alpha=90.00 beta=90.00 gamma=90.00
Closest atoms and distances in Å follow each position.
Fractional positions:
Y 0.0000 0.0000 0.0000  8 Ir 2.88, 4 Hg 2.98
Hg 0.5000 0.5000 0.0000  8 Ir 2.88, 4 Y 2.98
Ir 0.0000 0.5000 0.5000  4 Hg 2.88, 4 Y 2.88, 4 Ir 2.98
Ir 0.5000 0.0000 0.5000  4 Hg 2.88, 4 Y 2.88, 4 Ir 2.98

Computed properties:
Crystal system ... tetragonal
Space group ... P4/mmm (123)
Formation energy ... -1.29 eV per formula unit
Density of states at the Fermi level ... 3.74 states/eV/cell

Record 8
A PBEsol-optimized structure of LiMg2Ni2. Source: the Alexandria database, functional SCAN.

Unit cell a=7.2410 b=7.2410 c=2.8456 alpha=90.00 beta=90.00 gamma=90.00
Closest atoms and distances in Å follow each position.
Fractional positions:
Li 0.0000 0.0000 0.0000  2 Li 2.85, 4 Ni 2.89, 8 Mg 3.03
Li 0.5000 0.5000 0.0000  2 Li 2.85, 4 Ni 2.89, 8 Mg 3.03
Mg 0.1750 0.3250 0.5000  6 Ni 2.55-2.59, 2 Mg 2.85
Mg 0.3250 0.8250 0.5000  6 Ni 2.55-2.59, 2 Mg 2.85
Mg 0.6750 0.1750 0.5000  6 Ni 2.55-2.59, 2 Mg 2.85
Mg 0.8250 0.6750 0.5000  6 Ni 2.55-2.59, 2 Mg 2.85
Ni 0.1185 0.6185 0.0000  1 Ni 2.43, 6 Mg 2.55-2.59
Ni 0.3815 0.1185 0.0000  1 Ni 2.43, 6 Mg 2.55-2.59
Ni 0.6185 0.8815 0.0000  1 Ni 2.43, 6 Mg 2.55-2.59
Ni 0.8815 0.3815 0.0000  1 Ni 2.43, 6 Mg 2.55-2.59

Computed properties:
Crystal system ... tetragonal
Space group ... P4/mbm (127)
Formation energy ... -0.24 eV per formula unit
Density of states at the Fermi level ... 4.00 states/eV/cell

Record 9
A PBEsol-optimized structure of Bi5S6Cl3. Source: the Alexandria database, functional SCAN.

Unit cell a=11.9527 b=11.9893 c=12.0224 alpha=109.40 beta=109.18 gamma=108.96
Closest atoms and distances in Å follow each position.
Fractional positions:
Bi 0.0000 0.0000 0.0000  3 S 2.67-2.91, 1 Cl 2.75
Bi 0.0038 0.7566 0.5796  6 S 2.75-2.98
Bi 0.1047 0.4315 0.5346  3 S 2.63-2.75, 1 Cl 2.83
Bi 0.1657 0.3419 0.9326  2 S 2.65-2.86, 3 Cl 2.76-2.79
Bi 0.2732 0.1593 0.5629  3 S 2.73-2.95, 4 Cl 2.77-3.03
Bi 0.2914 0.7278 0.4518  5 S 2.69-2.98
Bi 0.3281 0.9497 0.2049  5 S 2.65-2.93
Bi 0.3352 0.3716 0.3402  3 S 2.63-2.78
Bi 0.4107 0.7478 0.8584  3 S 2.59-2.73
Bi 0.5326 0.6902 0.2464  5 S 2.75-2.97, 1 Cl 2.95
Bi 0.6101 0.0647 0.7854  3 S 2.60-2.84, 1 Cl 2.78
Bi 0.6169 0.5133 0.9346  3 S 2.64-2.77, 1 Cl 2.94
Bi 0.6514 0.3000 0.5383  3 S 2.60-2.70
Bi 0.6604 0.4030 0.2299  5 S 2.67-2.93
Bi 0.6663 0.6787 0.6612  4 S 2.66-2.95
Bi 0.7165 0.0276 0.2006  3 S 2.59-2.77, 1 Cl 2.85
Bi 0.8301 0.0083 0.5819  4 S 2.67-2.82
Bi 0.9472 0.3969 0.1144  4 S 2.68-2.89, 1 Cl 2.80
Bi 0.9720 0.8276 0.2400  4 S 2.66-2.85
Bi 0.9984 0.6309 0.8931  4 S 2.66-2.85
S 0.0362 0.5597 0.3972  4 Bi 2.72-2.89
S 0.1165 0.7177 0.1735  3 Bi 2.66-2.89
S 0.1445 0.6488 0.7290  2 Bi 2.63-2.65
S 0.1499 0.8901 0.4854  4 Bi 2.68-2.98
S 0.1541 0.8861 0.9602  3 Bi 2.65-2.70
S 0.1834 0.0626 0.2827  4 Bi 2.73-3.04
S 0.2531 0.5067 0.2110  4 Bi 2.78-3.08
S 0.3494 0.5723 0.5530  3 Bi 2.69-2.78
S 0.3726 0.8842 0.7203  3 Bi 2.60-2.76
S 0.4711 0.9742 0.0507  2 Bi 2.59-2.61
S 0.4807 0.4417 0.0675  3 Bi 2.67-2.77
S 0.4872 0.2248 0.2876  3 Bi 2.63-2.89
S 0.4997 0.3919 0.6031  1 Bi 2.60
S 0.5709 0.5527 0.3956  4 Bi 2.63-2.93
S 0.5961 0.8588 0.5709  4 Bi 2.72-3.02
S 0.6305 0.9854 0.3625  2 Bi 2.59-2.77
S 0.6358 0.7533 0.0874  3 Bi 2.74-2.77
S 0.7072 0.2214 0.0663  3 Bi 2.68-2.84
S 0.8134 0.7902 0.4035  3 Bi 2.67-2.83
S 0.8155 0.5582 0.1536  4 Bi 2.64-2.88
S 0.8216 0.5600 0.6250  4 Bi 2.70-2.98
S 0.8373 0.7267 0.9418  3 Bi 2.66-2.97
S 0.9035 0.8828 0.7329  4 Bi 2.67-2.82
S 0.9311 0.1862 0.9048  2 Bi 2.65-2.81
Cl 0.0262 0.2547 0.2388  3 Bi 2.80-3.10
Cl 0.1344 0.1187 0.7308  3 Bi 2.76-3.06
Cl 0.2386 0.1961 0.0513  3 Bi 2.75-2.96
Cl 0.2993 0.6520 0.0206  4 Bi 2.95-3.30
Cl 0.3104 0.4255 0.7538  4 Bi 3.00-3.27
Cl 0.4494 0.0577 0.5180  4 Bi 2.86-3.15
Cl 0.4640 0.2168 0.8096  3 Bi 2.77-2.94
Cl 0.6962 0.9245 0.9055  2 Bi 2.78-3.11
Cl 0.7765 0.3839 0.8458  4 Bi 2.99-3.14
Cl 0.8176 0.3001 0.3962  4 Bi 2.83-3.12
Cl 0.9847 0.3397 0.7135  1 Bi 2.79
Cl 0.9966 0.1102 0.4358  2 Bi 2.90-3.15

Computed properties:
Energy relative to the elements, uncorrected ... -43 kJ/mol of atoms
Crystal system ... triclinic
Space group ... P1 (1)

Record 10
A PBEsol-optimized structure of SbSeCl. Source: the Alexandria database, functional SCAN.

Unit cell a=3.9575 b=3.9575 c=6.2166 alpha=90.00 beta=90.00 gamma=120.00
Closest atoms and distances in Å follow each position.
Fractional positions:
Sb 0.0000 0.0000 0.0000  3 Se 2.77, 3 Cl 2.86
Se 0.3333 0.6667 0.7492  3 Sb 2.77
Cl 0.6667 0.3333 0.2757  3 Sb 2.86

Computed properties:
Energy relative to the elements, uncorrected ... -51 kJ/mol of atoms
Crystal system ... trigonal
Space group ... P3m1 (156)

Record 11
A PBEsol-optimized structure of NdCd3. Source: the Alexandria database, functional SCAN.

Unit cell a=6.6660 b=6.6660 c=4.8973 alpha=90.00 beta=90.00 gamma=120.00
Closest atoms and distances in Å follow each position.
Fractional positions:
Nd 0.3333 0.6667 0.2500  12 Cd 3.18-3.33
Nd 0.6667 0.3333 0.7500  12 Cd 3.18-3.33
Cd 0.1582 0.3164 0.7500  6 Cd 3.05-3.16, 4 Nd 3.18-3.33
Cd 0.1582 0.8418 0.7500  6 Cd 3.05-3.16, 4 Nd 3.18-3.33
Cd 0.3164 0.1582 0.2500  6 Cd 3.05-3.16, 4 Nd 3.18-3.33
Cd 0.6836 0.8418 0.7500  6 Cd 3.05-3.16, 4 Nd 3.18-3.33
Cd 0.8418 0.1582 0.2500  6 Cd 3.05-3.16, 4 Nd 3.18-3.33
Cd 0.8418 0.6836 0.2500  6 Cd 3.05-3.16, 4 Nd 3.18-3.33

Computed properties:
Crystal system ... hexagonal
Space group ... P6_3/mmc (194)
Formation energy ... -1.53 eV per formula unit
Density of states at the Fermi level ... 3.96 states/eV/cell